(1)
VASP calculation (PBE) on an optimized crystal structure of BaZn2.

abc: 13.2412 4.3055 6.7473
angles: 90.00 113.85 90.00
Fractional positions:
Ba (0.1675, 0.0000, 0.1808)
Ba (0.3325, 0.5000, 0.8192)
Ba (0.6675, 0.5000, 0.1808)
Ba (0.8325, 0.0000, 0.8192)
Zn (0.0216, 0.5000, 0.7127)
Zn (0.1050, 0.0000, 0.6273)
Zn (0.3950, 0.5000, 0.3727)
Zn (0.4784, 0.0000, 0.2873)
Zn (0.5216, 0.0000, 0.7127)
Zn (0.6050, 0.5000, 0.6273)
Zn (0.8950, 0.0000, 0.3727)
Zn (0.9784, 0.5000, 0.2873)

Results
DFT formation energy: -0.14 eV/atom
Space group: C2/m
DFT total energy: -1.630 eV per atom
N(E_F): 9.023 states/eV/cell


(2)
VASP calculation (PBE) on an optimized crystal structure of MnBiPt2.

abc: 4.9335 4.9335 14.7002
angles: 90.00 90.00 90.00
Fractional positions:
Mn (0.0000, 0.0000, 0.0000)
Mn (0.0000, 0.5000, 0.2500)
Mn (0.5000, 0.0000, 0.7500)
Mn (0.5000, 0.5000, 0.5000)
Bi (0.0000, 0.0000, 0.5000)
Bi (0.0000, 0.5000, 0.7500)
Bi (0.5000, 0.0000, 0.2500)
Bi (0.5000, 0.5000, 0.0000)
Pt (0.1544, 0.2500, 0.1250)
Pt (0.2500, 0.6544, 0.3750)
Pt (0.2500, 0.8456, 0.8750)
Pt (0.3456, 0.2500, 0.6250)
Pt (0.6544, 0.7500, 0.6250)
Pt (0.7500, 0.1544, 0.8750)
Pt (0.7500, 0.3456, 0.3750)
Pt (0.8456, 0.7500, 0.1250)

Results
DFT formation energy: 0.52 eV/atom
Space group: I-42d
DFT total energy: -5.766 eV per atom
N(E_F): 19.859 states/eV/cell


(3)
VASP calculation (PBE) on an optimized crystal structure of ZnSb2Pd5.

abc: 8.0597 8.0597 11.4783
angles: 90.00 90.00 151.04
Fractional positions:
Zn (0.1622, 0.8378, 0.7500)
Zn (0.8378, 0.1622, 0.2500)
Sb (0.1260, 0.8740, 0.0689)
Sb (0.1260, 0.8740, 0.4311)
Sb (0.8740, 0.1260, 0.5689)
Sb (0.8740, 0.1260, 0.9311)
Pd (0.0339, 0.9661, 0.6211)
Pd (0.0339, 0.9661, 0.8789)
Pd (0.2291, 0.7709, 0.2500)
Pd (0.2642, 0.7358, 0.5797)
Pd (0.2642, 0.7358, 0.9203)
Pd (0.7358, 0.2642, 0.0797)
Pd (0.7358, 0.2642, 0.4203)
Pd (0.7709, 0.2291, 0.7500)
Pd (0.9661, 0.0339, 0.1211)
Pd (0.9661, 0.0339, 0.3789)

Results
Space group: Cmcm
E_form (uncorrected): -2.9 kcal/mol of atoms
DFT total energy: -4.561 eV per atom
N(E_F): 4.777 states/eV/cell


(4)
VASP calculation (PBE) on an optimized crystal structure of In2HgBr.

abc: 7.7846 7.7846 7.7846
angles: 90.00 90.00 90.00
Fractional positions:
In (0.2500, 0.2500, 0.2500)
In (0.2500, 0.2500, 0.7500)
In (0.2500, 0.7500, 0.2500)
In (0.2500, 0.7500, 0.7500)
In (0.7500, 0.2500, 0.2500)
In (0.7500, 0.2500, 0.7500)
In (0.7500, 0.7500, 0.2500)
In (0.7500, 0.7500, 0.7500)
Hg (0.0000, 0.0000, 0.0000)
Hg (0.0000, 0.5000, 0.5000)
Hg (0.5000, 0.0000, 0.5000)
Hg (0.5000, 0.5000, 0.0000)
Br (0.0000, 0.0000, 0.5000)
Br (0.0000, 0.5000, 0.0000)
Br (0.5000, 0.0000, 0.0000)
Br (0.5000, 0.5000, 0.5000)

Results
Space group: Fm-3m
E_form (uncorrected): -3.7 kcal/mol of atoms
DFT total energy: -2.022 eV per atom
N(E_F): 13.024 states/eV/cell


(5)
VASP calculation (PBE) on an optimized crystal structure of MgGeSb3.

abc: 5.3421 5.3421 5.3421
angles: 90.00 90.00 90.00
Fractional positions:
Mg (0.0000, 0.0000, 0.0000)
Ge (0.5000, 0.5000, 0.5000)
Sb (0.0000, 0.0000, 0.5000)
Sb (0.0000, 0.5000, 0.0000)
Sb (0.5000, 0.0000, 0.0000)

Results
Space group: Pm-3m
E_form (uncorrected): 16.1 kcal/mol of atoms
DFT total energy: -3.017 eV per atom
N(E_F): 4.136 states/eV/cell


(6)
VASP calculation (PBE) on an optimized crystal structure of LiSeF3.

abc: 4.4419 4.4419 4.4419
angles: 90.00 90.00 90.00
Fractional positions:
Li (0.0000, 0.0000, 0.0000)
Se (0.5000, 0.5000, 0.5000)
F (0.0000, 0.5000, 0.5000)
F (0.5000, 0.0000, 0.5000)
F (0.5000, 0.5000, 0.0000)

Results
Space group: Pm-3m
E_form (uncorrected): -29.7 kcal/mol of atoms
DFT total energy: -3.488 eV per atom
N(E_F): 1.250 states/eV/cell


(7)
VASP calculation (PBE) on an optimized crystal structure of KAlMo2.

abc: 2.8529 2.8529 32.1558
angles: 90.00 90.00 120.00
Fractional positions:
K (0.0000, 0.0000, 0.0000)
K (0.3333, 0.6667, 0.6667)
K (0.6667, 0.3333, 0.3333)
Al (0.0000, 0.0000, 0.5000)
Al (0.3333, 0.6667, 0.1667)
Al (0.6667, 0.3333, 0.8333)
Mo (0.0000, 0.0000, 0.2358)
Mo (0.0000, 0.0000, 0.7642)
Mo (0.3333, 0.6667, 0.4309)
Mo (0.3333, 0.6667, 0.9024)
Mo (0.6667, 0.3333, 0.0976)
Mo (0.6667, 0.3333, 0.5691)

Results
DFT formation energy: 0.75 eV/atom
Space group: R-3m
DFT total energy: -5.880 eV per atom
N(E_F): 15.364 states/eV/cell


(8)
VASP calculation (PBE) on an optimized crystal structure of Tl5Rh.

abc: 11.9117 3.3688 8.6391
angles: 90.00 111.82 90.00
Fractional positions:
Tl (0.0000, 0.0000, 0.0000)
Tl (0.0379, 0.0000, 0.4194)
Tl (0.1973, 0.5000, 0.8551)
Tl (0.2349, 0.5000, 0.2747)
Tl (0.3683, 0.0000, 0.6373)
Tl (0.5000, 0.5000, 0.0000)
Tl (0.5379, 0.5000, 0.4194)
Tl (0.6973, 0.0000, 0.8551)
Tl (0.7349, 0.0000, 0.2747)
Tl (0.8683, 0.5000, 0.6373)
Rh (0.3674, 0.0000, 0.1374)
Rh (0.8674, 0.5000, 0.1374)

Results
DFT formation energy: 0.09 eV/atom
Space group: Cm
DFT total energy: -3.112 eV per atom
N(E_F): 6.424 states/eV/cell